[1]
Computed, not measured: Na3Pr5Cl18 at its PBEsol-relaxed geometry at the SCAN level of DFT.

**M_tot**: 0.000 μB/cell
**ΔE_f (raw)**: -2469 meV/atom

Geometry as POSCAR:
```
Na3Pr5Cl18
1.0
7.514 0.000 0.000
-3.757 6.508 0.000
0.000 0.000 12.649
Pr Cl Na
5 18 3
Cartesian
3.757 2.169 4.299
0.000 0.000 2.128
3.757 2.169 0.000
0.000 0.000 10.521
3.757 2.169 8.350
4.497 0.351 6.325
1.812 2.438 6.325
-1.792 6.342 0.000
2.618 4.860 4.129
-0.839 1.784 0.000
-0.858 1.810 8.520
2.618 4.860 8.520
4.931 3.776 2.081
4.562 0.349 10.569
4.562 0.349 2.081
-0.858 1.810 4.129
1.779 2.382 10.569
1.779 2.382 2.081
4.962 3.719 6.325
4.931 3.776 10.569
-1.761 6.345 4.129
2.631 4.889 0.000
-1.761 6.345 8.520
0.000 4.338 3.492
0.000 0.000 6.325
0.000 4.338 9.157
```

=====

[2]
Computed, not measured: TiTlBi2 at its PBEsol-relaxed geometry at the SCAN level of DFT.

**ΔH_f (0 K)**: 0.29 eV/atom
**M_tot**: 0.577 μB/cell

Geometry as POSCAR:
```
TiTlBi2
1.0
5.263 0.000 0.000
2.631 4.558 0.000
2.631 1.519 4.297
Bi Tl Ti
2 1 1
Cartesian
2.631 1.519 1.074
7.894 4.558 3.223
5.263 3.039 2.149
0.000 0.000 0.000
```

=====

[3]
Computed, not measured: Cs2Te13 at its PBEsol-relaxed geometry at the SCAN level of DFT.

**M_tot**: 0.000 μB/cell
**ΔE_f (raw)**: -309 meV/atom

Geometry as POSCAR:
```
Cs2Te13
1.0
-4.849 -0.999 -5.279
-7.709 -7.372 8.476
-10.846 18.722 6.419
Te Cs
52 8
Cartesian
-17.285 8.590 5.253
-12.369 3.086 1.520
-9.485 13.089 5.310
-6.307 -2.857 3.290
-9.991 -4.242 5.423
-4.327 0.443 -2.988
-13.414 14.593 4.193
-6.633 4.405 3.483
-18.877 9.579 7.379
-9.804 10.273 5.285
-9.240 4.037 2.357
-9.202 -2.380 -0.354
-11.496 -3.556 3.085
-10.021 1.051 6.468
-10.195 3.854 5.591
-17.097 13.207 6.326
-8.580 -4.220 1.678
-6.120 1.760 4.363
-16.681 9.229 11.038
-8.215 7.154 -0.687
-13.601 0.077 4.331
-8.859 -5.201 8.455
-13.209 6.496 4.025
-2.732 -0.123 -0.389
-6.723 1.122 -1.422
-12.946 3.316 4.262
-14.824 14.571 7.938
-19.078 9.907 12.604
-15.190 3.196 10.303
-7.097 7.413 2.195
-11.036 7.265 8.096
-12.699 0.432 7.026
-15.195 12.427 4.221
-14.545 15.551 1.161
-16.307 2.938 7.421
-13.919 -2.739 4.306
-8.209 -2.077 5.395
-8.535 4.249 -0.349
-13.383 9.299 3.148
-16.772 5.946 6.133
-4.528 0.772 2.237
-11.379 10.086 -0.713
-10.706 9.918 2.590
-11.909 13.907 6.530
-14.164 6.314 7.259
-14.202 12.730 9.970
-14.869 6.101 9.965
-16.872 10.988 8.862
-10.458 7.035 5.354
-6.532 -0.638 0.754
-20.673 10.474 10.005
-12.025 0.265 10.329
-4.694 4.120 -0.111
-6.184 -2.720 -2.516
-11.797 3.710 8.922
-13.567 10.182 6.892
-6.374 -5.651 5.712
-18.711 6.230 9.727
-11.607 6.641 0.694
-9.837 0.169 2.724
```

=====

[4]
Computed, not measured: YReP2Cl at its PBEsol-relaxed geometry at the SCAN level of DFT.

**M_tot**: 0.000 μB/cell
**Energy above the lowest structure with this stoichiometry**: 0 meV/atom
**ΔE_f (raw)**: -134 meV/atom

Geometry as POSCAR:
```
YReP2Cl
1.0
-0.782 -0.387 4.474
-4.091 -1.812 -0.871
1.982 -4.456 -0.039
P Re Cl Y
2 1 1 1
Cartesian
-2.045 -0.906 -0.436
-0.391 -0.193 2.237
0.000 0.000 0.000
0.991 -2.228 -0.019
-1.445 -3.327 1.782
```

=====

[5]
Computed, not measured: YFeTc2 at its PBEsol-relaxed geometry at the SCAN level of DFT.

**ΔH_f (0 K)**: 0.34 eV/atom
**M_tot**: 2.448 μB/cell
**Energy above the lowest structure with this stoichiometry**: 135 meV/atom

Geometry as POSCAR:
```
YFeTc2
1.0
3.022 0.000 0.040
0.000 4.513 0.000
-0.784 0.000 4.644
Fe Y Tc
1 1 2
Cartesian
-0.392 2.257 2.322
1.511 2.257 0.020
1.889 0.000 3.449
0.348 0.000 1.235
```

=====

[6]
Computed, not measured: TlZnSe2N at its PBEsol-relaxed geometry at the SCAN level of DFT.

**M_tot**: 3.201 μB/cell
**ΔE_f (raw)**: 575 meV/atom

Geometry as POSCAR:
```
TlZnSe2N
1.0
3.670 0.000 0.000
0.000 5.265 0.000
0.000 0.000 5.265
N Se Zn Tl
1 2 1 1
Cartesian
1.835 0.000 0.000
0.000 0.000 2.633
0.000 2.633 0.000
0.000 0.000 0.000
1.835 2.633 2.633
```